A relaxed Ce2GaRh crystal. Source: Alexandria, functional GGA-PBE.

abc: 4.4670 4.4670 4.4911
angles: 83.17 83.17 100.69
With the nearest neighbours (Å) after each atom.
Element x y z (fractional)
Ce 0.0000 0.5000 0.0000  2 Ce 2.85, 2 Rh 2.97, 2 Ga 2.97
Ce 0.5000 0.0000 0.0000  2 Ce 2.85, 2 Rh 2.97, 2 Ga 2.97
Ga 0.5000 0.5000 0.5000  2 Rh 2.85, 4 Ce 2.97
Rh 0.0000 0.0000 0.5000  2 Ga 2.85, 4 Ce 2.97

Properties
As for the symmetry: C2/m (12). The energy of formation from the pure elements comes out at -0.374 eV per atom. The value obtained for the total energy is -5.9356 eV per atom. Its calculated volume is 87 Å³ per cell. The calculation puts the density of states at the Fermi level at 1.858 states/eV/atom.

A relaxed NaAlAs2O8 crystal. Source: Alexandria, functional GGA-PBE.

abc: 5.7088 5.7088 5.7088
angles: 106.36 106.36 115.89
With the nearest neighbours (Å) after each atom.
Element x y z (fractional)
Na 0.2500 0.7500 0.5000  4 O 2.21
Al 0.0000 0.0000 0.0000  8 O 2.08-2.21
As 0.7500 0.2500 0.5000  4 O 1.72
As 0.5000 0.5000 0.0000  4 O 1.72
O 0.3806 0.0873 0.2934  1 As 1.72
O 0.3029 0.4836 0.1807  1 As 1.72
O 0.3029 0.1222 0.8193  1 As 1.72
O 0.7939 0.0873 0.7066  1 As 1.72
O 0.8778 0.6971 0.1807  1 As 1.72
O 0.9127 0.2061 0.2934  1 As 1.72
O 0.9127 0.6194 0.7066  1 As 1.72
O 0.5164 0.6971 0.8193  1 As 1.72

Properties
As for the symmetry: I-4m2 (119). The value obtained for the total energy is -5.6473 eV per atom. Its calculated volume is 142 Å³ per cell. Its uncorrected formation energy is -1.15 eV/atom. The calculation puts the density of states at the Fermi level at 0.716 states/eV/atom.

A relaxed YHo2Te3 crystal. Source: Alexandria, functional GGA-PBE.

abc: 4.3787 6.1256 7.5061
angles: 114.08 106.96 90.00
With the nearest neighbours (Å) after each atom.
Element x y z (fractional)
Y 0.5000 0.5000 0.5000  6 Te 3.06-3.10
Ho 0.8368 0.8368 0.1737  6 Te 3.05-3.09
Ho 0.1632 0.1632 0.8263  6 Te 3.05-3.09
Te 0.8309 0.3309 0.1617  4 Ho 3.06-3.09, 2 Y 3.10
Te 0.1691 0.6691 0.8383  4 Ho 3.06-3.09, 2 Y 3.10
Te 0.5000 0.0000 0.5000  4 Ho 3.05, 2 Y 3.06

Properties
As for the symmetry: Immm (71). The distance to the lowest polymorph of the same formula comes out at 24 meV/atom. The value obtained for the total energy is -5.4397 eV per atom. Its calculated volume is 174 Å³ per cell. Its uncorrected formation energy is -1.27 eV/atom. The calculation puts the density of states at the Fermi level at 0.478 states/eV/atom.

A relaxed ScTiSN2 crystal. Source: Alexandria, functional GGA-PBE.

abc: 4.0018 4.0018 4.9805
angles: 90.00 90.00 90.00
With the nearest neighbours (Å) after each atom.
Element x y z (fractional)
Sc 0.0000 0.0000 0.0000  4 N 2.00
S 0.0000 0.0000 0.5000  2 Sc 2.49
N 0.0000 0.5000 0.0000  2 Sc 2.00
N 0.5000 0.0000 0.0000  2 Sc 2.00
Ti 0.5000 0.5000 0.5000  4 S 2.83

Properties
As for the symmetry: P4/mmm (123). The distance to the lowest polymorph of the same formula comes out at 871 meV/atom. The value obtained for the total energy is -6.7270 eV per atom. Its calculated volume is 80 Å³ per cell. Its uncorrected formation energy is 0.27 eV/atom. The calculation puts the density of states at the Fermi level at 1.148 states/eV/atom.

A relaxed Hf4CoN2 crystal. Source: Alexandria, functional GGA-PBE.

abc: 3.2415 5.6694 11.5226
angles: 90.00 90.00 106.61
With the nearest neighbours (Å) after each atom.
Element x y z (fractional)
Hf 0.7699 0.5398 0.1124  3 N 2.23-2.27
Hf 0.7699 0.5398 0.3876  3 N 2.23-2.27
Hf 0.2301 0.4602 0.8876  3 N 2.23-2.27
Hf 0.2301 0.4602 0.6124  3 N 2.23-2.27
Hf 0.9340 0.8680 0.7500  2 N 2.32, 2 Co 2.51
Hf 0.0660 0.1320 0.2500  2 N 2.32, 2 Co 2.51
Hf 0.5000 0.0000 0.0000  4 N 2.29
Hf 0.5000 0.0000 0.5000  4 N 2.29
Co 0.6104 0.2208 0.7500  6 Hf 2.51-2.61
Co 0.3896 0.7792 0.2500  6 Hf 2.51-2.61
N 0.1345 0.2690 0.4410  6 Hf 2.23-2.32
N 0.8655 0.7310 0.9410  6 Hf 2.23-2.32
N 0.1345 0.2690 0.0590  6 Hf 2.23-2.32
N 0.8655 0.7310 0.5591  6 Hf 2.23-2.32

Properties
As for the symmetry: Cmcm (63). The value obtained for the total energy is -10.2993 eV per atom. Its calculated volume is 203 Å³ per cell. Its uncorrected formation energy is -1.22 eV/atom. The calculation puts the density of states at the Fermi level at 0.424 states/eV/atom.

A relaxed MnPtSN2 crystal. Source: Alexandria, functional GGA-PBE.

abc: 3.5251 3.5251 5.3027
angles: 90.00 90.00 90.00
With the nearest neighbours (Å) after each atom.
Element x y z (fractional)
S 0.0000 0.0000 0.5000  4 Pt 2.49, 2 Mn 2.65
Mn 0.0000 0.0000 0.0000  4 N 1.76
Pt 0.5000 0.5000 0.5000  4 S 2.49
N 0.0000 0.5000 0.0000  2 Mn 1.76
N 0.5000 0.0000 0.0000  2 Mn 1.76

Properties
As for the symmetry: P4/mmm (123). The distance to the lowest polymorph of the same formula comes out at 0 meV/atom. The value obtained for the total energy is -6.4587 eV per atom. Its calculated volume is 66 Å³ per cell. Its uncorrected formation energy is 0.74 eV/atom. The calculation puts the density of states at the Fermi level at 0.679 states/eV/atom.

A relaxed HgSb2As crystal. Source: Alexandria, functional GGA-PBE.

abc: 9.6540 6.0228 8.9504
angles: 90.00 117.28 90.00
With the nearest neighbours (Å) after each atom.
Element x y z (fractional)
Sb 0.6013 0.9628 0.1837  2 As 2.73-2.78, 1 Sb 2.96
Sb 0.3987 0.9628 0.8163  2 As 2.73-2.78, 1 Sb 2.96
Sb 0.6013 0.4628 0.6837  2 As 2.73-2.78, 1 Sb 2.96
Sb 0.3987 0.4628 0.3163  2 As 2.73-2.78, 1 Sb 2.96
Sb 0.8708 0.8920 0.0466  1 As 2.72, 1 Sb 2.97, 2 Hg 3.01-3.02
Sb 0.1292 0.8920 0.9534  1 As 2.72, 1 Sb 2.97, 2 Hg 3.01-3.02
Sb 0.8708 0.3920 0.5466  1 As 2.72, 1 Sb 2.97, 2 Hg 3.01-3.02
Sb 0.1292 0.3920 0.4534  1 As 2.72, 1 Sb 2.97, 2 Hg 3.01-3.02
As 0.3632 0.9113 0.2731  3 Sb 2.72-2.78
As 0.6368 0.9113 0.7269  3 Sb 2.72-2.78
As 0.3632 0.4113 0.7731  3 Sb 2.72-2.78
As 0.6368 0.4113 0.2269  3 Sb 2.72-2.78
Hg 0.1310 0.8907 0.4370  4 Sb 3.01-3.24, 1 As 3.19, 1 Hg 3.21
Hg 0.8690 0.8907 0.5630  4 Sb 3.01-3.24, 1 As 3.19, 1 Hg 3.21
Hg 0.1310 0.3907 0.9370  4 Sb 3.01-3.24, 1 As 3.19, 1 Hg 3.21
Hg 0.8690 0.3907 0.0630  4 Sb 3.01-3.24, 1 As 3.19, 1 Hg 3.21

Properties
As for the symmetry: C2 (5). The distance to the lowest polymorph of the same formula comes out at 21 meV/atom. The value obtained for the total energy is -3.2470 eV per atom. Its calculated volume is 463 Å³ per cell. Its uncorrected formation energy is 0.05 eV/atom. The calculation puts the density of states at the Fermi level at 0.265 states/eV/atom.

A relaxed CsZnSn3 crystal. Source: Alexandria, functional GGA-PBE.

abc: 6.9228 6.9228 6.9228
angles: 136.57 136.57 63.11
With the nearest neighbours (Å) after each atom.
Element x y z (fractional)
Cs 0.6002 0.6002 0.0000  12 Sn 3.85-3.96, 4 Zn 3.94
Zn 0.9697 0.9697 0.0000  5 Sn 2.84-2.89
Sn 0.8563 0.3563 0.5000  2 Zn 2.89, 2 Sn 3.08
Sn 0.3563 0.8563 0.5000  2 Zn 2.89, 2 Sn 3.08
Sn 0.2107 0.2107 0.0000  1 Zn 2.84, 4 Sn 3.08

Properties
As for the symmetry: I4mm (107). The energy of formation from the pure elements comes out at -0.134 eV per atom. The distance to the lowest polymorph of the same formula comes out at 0 meV/atom. The value obtained for the total energy is -2.9611 eV per atom. Its calculated volume is 155 Å³ per cell. The calculation puts the density of states at the Fermi level at 0.352 states/eV/atom.

M_tot list, top to bottom, in Bohr magnetons per cell: 0.3; 2.0; 0.0; 0.1; 0.0; 0.1; 0.0; 0.0